Arrangement w

{"formula": "Hf3Ag4Pb4", "functional": "PBE", "state": "optimized geometry", "spacegroup": "Pm, No. 6", "density_g_cm3": 11.69, "lattice": [[6.8998, 0.0000, 0.0000], [0.0000, 4.5793, 0.0000], [-0.1238, 0.0000, 8.0733]], "species": ["Hf", "Hf", "Hf", "Ag", "Ag", "Ag", "Ag", "Pb", "Pb", "Pb", "Pb"], "frac_coords": [[0.0000, 0.0000, 0.0000], [0.0227, 0.5000, 0.4309], [0.5310, 0.0000, 0.9805], [0.1123, 0.5000, 0.7847], [0.2631, 0.0000, 0.3109], [0.7824, 0.5000, 0.1217], [0.8882, 0.0000, 0.6499], [0.2839, 0.5000, 0.1104], [0.3173, 0.0000, 0.6488], [0.6778, 0.5000, 0.7618], [0.7126, 0.0000, 0.3293]]}

---

Arrangement x

{"formula": "Hf3Ag4Pb4", "functional": "PBE", "state": "optimized geometry", "spacegroup": "I-42m, No. 121", "density_g_cm3": 10.75, "lattice": [[-3.2582, 3.2582, 6.5319], [3.2582, -3.2582, 6.5319], [3.2582, 3.2582, -6.5319]], "species": ["Hf", "Hf", "Hf", "Ag", "Ag", "Ag", "Ag", "Pb", "Pb", "Pb", "Pb"], "frac_coords": [[0.0000, 0.0000, 0.0000], [0.2500, 0.7500, 0.5000], [0.7500, 0.2500, 0.5000], [0.1285, 0.6249, 0.0000], [0.3751, 0.3751, 0.5036], [0.6249, 0.1285, 0.0000], [0.8715, 0.8715, 0.4964], [0.0000, 0.5000, 0.5000], [0.2530, 0.2530, 0.0000], [0.5000, 0.0000, 0.5000], [0.7470, 0.7470, 0.0000]]}

---

Relative to the most stable structure, the computed energies are arrangement w 0; arrangement x 66, all in meV/atom.